The following is a DFT calculation (PBE) of Ac3TcGe3 after structural relaxation.

Cell: 6.3526 9.1920 9.1920 Å, 120.00 90.00 90.00°
Fractional positions:
1 Ge 0.7500 0.2942 0.3880
2 Ge 0.7500 0.0938 0.7058
3 Ge 0.2500 0.3880 0.0938
4 Ge 0.2500 0.7058 0.6120
5 Ge 0.2500 0.9062 0.2942
6 Ge 0.7500 0.6120 0.9062
7 Ac 0.2500 0.0917 0.7032
8 Ac 0.7500 0.7032 0.6115
9 Ac 0.7500 0.3885 0.0917
10 Ac 0.7500 0.9083 0.2968
11 Ac 0.2500 0.2968 0.3885
12 Ac 0.2500 0.6115 0.9083
13 Tc 0.2500 0.6667 0.3333
14 Tc 0.7500 0.3333 0.6667

Calculated formation energy (kJ/mol of atoms): -29.9
Mass density (g/cm³): 7.1
Spin magnetization (μB per cell): 0.00



The following is a DFT calculation (PBE) of CdPbBr2 after structural relaxation.

Cell: 3.7897 3.7895 9.6391 Å, 90.00 90.00 90.00°
Fractional positions:
1 Cd 0.5000 0.5000 0.2500
2 Pb 0.5000 0.5000 0.7500
3 Br 0.0000 0.0000 0.9342
4 Br 0.0000 0.0000 0.5658

Formation energy without anion corrections (eV per atom): -0.440
Relative energy among the computed polymorphs (meV per atom): 97
Mass density (g/cm³): 5.8
Spin magnetization (μB per cell): 0.00



The following is a DFT calculation (PBE) of ZrHg2MoP after structural relaxation.

Cell: 5.2613 4.9309 5.2613 Å, 90.00 90.00 90.00°
Last column: magnetic moment on the atom in μB.
Fractional positions:
1 Hg 0.0000 0.0000 0.5000  0.01
2 Hg 0.5000 0.0000 0.0000  0.03
3 Zr 0.0000 0.5000 0.0000  -0.03
4 Mo 0.0000 0.0000 0.0000  0.25
5 P 0.5000 0.5000 0.5000  0.40

Calculated formation energy (kJ/mol of atoms): 109.8
Mass density (g/cm³): 7.5
Spin magnetization (μB per cell): 1.16



The following is a DFT calculation (PBE) of SmMgNi5 after structural relaxation.

Cell: 4.8526 8.0962 10.2676 Å, 90.00 90.00 90.00°
Fractional positions:
1 Sm 0.2500 0.7474 0.5590
2 Sm 0.2500 0.2474 0.9410
3 Sm 0.7500 0.2526 0.4410
4 Sm 0.7500 0.7526 0.0590
5 Ni 0.2500 0.4535 0.3922
6 Ni 0.5014 0.9320 0.3111
7 Ni 0.4986 0.0680 0.6889
8 Ni 0.2500 0.0833 0.4840
9 Ni 0.9986 0.9320 0.3111
10 Ni 0.7500 0.5465 0.6078
11 Ni 0.5014 0.4320 0.1889
12 Ni 0.0014 0.0680 0.6889
13 Ni 0.7500 0.3118 0.7586
14 Ni 0.7500 0.9167 0.5160
15 Ni 0.7500 0.0465 0.8922
16 Ni 0.2500 0.5833 0.0160
17 Ni 0.7500 0.4167 0.9840
18 Ni 0.2500 0.6882 0.2414
19 Ni 0.0014 0.5680 0.8111
20 Ni 0.7500 0.8118 0.7414
21 Ni 0.4986 0.5680 0.8111
22 Ni 0.2500 0.9535 0.1078
23 Ni 0.9986 0.4320 0.1889
24 Ni 0.2500 0.1882 0.2586
25 Mg 0.7500 0.1376 0.1396
26 Mg 0.2500 0.3624 0.6396
27 Mg 0.2500 0.8624 0.8604
28 Mg 0.7500 0.6376 0.3604

Calculated formation energy (kJ/mol of atoms): -26.9
Mass density (g/cm³): 7.7
Spin magnetization (μB per cell): 0.01



The following is a DFT calculation (PBE) of Ni2GeHIr after structural relaxation.

Cell: 3.7209 3.7209 3.8301 Å, 90.00 90.00 90.00°
Fractional positions:
1 Ni 0.0000 0.5000 0.0000
2 Ni 0.5000 0.0000 0.0000
3 H 0.0000 0.0000 0.0000
4 Ge 0.5000 0.5000 0.5000
5 Ir 0.0000 0.0000 0.5000

Mass density (g/cm³): 12.0
Spin magnetization (μB per cell): 0.00
Total energy (eV per atom): -5.825



The following is a DFT calculation (PBE) of AcLaPu after structural relaxation.

Cell: 7.2059 9.2470 7.0603 Å, 68.05 90.00 90.00°
Last column: magnetic moment on the atom in μB.
Fractional positions:
1 Pu 0.3542 0.9519 0.9049  -5.59
2 Pu 0.6458 0.0481 0.0951  -5.59
3 Pu 0.1458 0.4519 0.4049  -5.59
4 Pu 0.8542 0.5481 0.5951  -5.59
5 Ac 0.7563 0.9075 0.6387  -0.07
6 Ac 0.2563 0.5925 0.8613  -0.07
7 Ac 0.2437 0.0925 0.3613  -0.07
8 Ac 0.7437 0.4075 0.1387  -0.07
9 La 0.4688 0.6946 0.3482  -0.11
10 La 0.0312 0.1946 0.8482  -0.11
11 La 0.9688 0.8054 0.1518  -0.11
12 La 0.5312 0.3054 0.6518  -0.11

Calculated formation energy (kJ/mol of atoms): 24.7
Relative energy among the computed polymorphs (meV per atom): 99
Mass density (g/cm³): 9.3
Spin magnetization (μB per cell): 24.83



The following is a DFT calculation (PBE) of LaErIr after structural relaxation.

Cell: 4.9074 4.9072 6.8768 Å, 90.04 90.05 90.00°
Fractional positions:
1 Ir 0.0000 0.0000 0.0000
2 Ir 0.5000 0.5000 0.5000
3 La 0.4954 0.0042 0.7500
4 La 0.5046 0.9958 0.2500
5 Er 0.9967 0.5031 0.7500
6 Er 0.0033 0.4969 0.2500

Calculated formation energy (kJ/mol of atoms): -61.5
Relative energy among the computed polymorphs (meV per atom): 6
Mass density (g/cm³): 10.0
Spin magnetization (μB per cell): 0.00



The following is a DFT calculation (PBE) of Hf2Zr2Tc after structural relaxation.

Cell: 6.6586 6.6586 4.9884 Å, 90.00 90.00 90.00°
Fractional positions:
1 Zr 0.8398 0.3398 0.5000
2 Zr 0.3398 0.1602 0.5000
3 Zr 0.1602 0.6602 0.5000
4 Zr 0.6602 0.8398 0.5000
5 Hf 0.1539 0.3461 0.0000
6 Hf 0.6539 0.1539 0.0000
7 Hf 0.8461 0.6539 0.0000
8 Hf 0.3461 0.8461 0.0000
9 Tc 0.5000 0.5000 0.0000
10 Tc 0.0000 0.0000 0.0000

Calculated formation energy (kJ/mol of atoms): 7.6
Relative energy among the computed polymorphs (meV per atom): 275
Mass density (g/cm³): 9.6
Spin magnetization (μB per cell): 0.00



The following is a DFT calculation (PBE) of KCdSnPt after structural relaxation.

Cell: 4.6242 4.6242 6.9089 Å, 70.45 70.45 60.00°
Fractional positions:
1 K 0.8111 0.8111 0.5668
2 Cd 0.0125 0.0125 0.9626
3 Pt 0.6343 0.6343 0.0970
4 Sn 0.2680 0.2680 0.1960

Calculated formation energy (kJ/mol of atoms): -30.5
Mass density (g/cm³): 6.5
Spin magnetization (μB per cell): 0.00



The following is a DFT calculation (PBE) of Pr2Sm6Dy3Tl after structural relaxation.

Cell: 6.1969 6.1969 11.9008 Å, 94.99 94.99 120.06°
Fractional positions:
1 Sm 0.0838 0.4104 0.2519
2 Sm 0.4104 0.0838 0.2519
3 Sm 0.7576 0.7576 0.2528
4 Sm 0.2424 0.2424 0.7472
5 Sm 0.5896 0.9162 0.7481
6 Sm 0.9162 0.5896 0.7481
7 Pr 0.6664 0.3336 0.0000
8 Pr 0.3336 0.6664 0.0000
9 Tl 0.0000 0.0000 0.0000
10 Dy 0.5000 0.5000 0.5000
11 Dy 0.8329 0.1671 0.5000
12 Dy 0.1671 0.8329 0.5000

Calculated formation energy (kJ/mol of atoms): -2.9
Mass density (g/cm³): 8.0
Spin magnetization (μB per cell): 0.00



The following is a DFT calculation (PBE) of AgHPtPb2 after structural relaxation.

Cell: 5.3006 5.3006 3.4995 Å, 90.00 90.00 90.00°
Fractional positions:
1 H 0.0000 0.0000 0.0000
2 Pb 0.0000 0.5000 0.0000
3 Pb 0.5000 0.0000 0.0000
4 Pt 0.0000 0.0000 0.5000
5 Ag 0.5000 0.5000 0.5000

Relative energy among the computed polymorphs (meV per atom): 0
Mass density (g/cm³): 12.1
Spin magnetization (μB per cell): 0.00



The following is a DFT calculation (PBE) of Er5Tl8Cd after structural relaxation.

Cell: 7.9810 7.9810 7.9810 Å, 108.62 111.19 108.62°
Fractional positions:
1 Tl 0.6431 0.8989 0.8736
2 Tl 0.9747 0.1011 0.7442
3 Tl 0.1612 0.7798 0.5811
4 Tl 0.6186 0.4199 0.8388
5 Tl 0.2558 0.2305 0.3569
6 Tl 0.1264 0.7695 0.0253
7 Tl 0.4189 0.5801 0.1987
8 Tl 0.8013 0.2202 0.3814
9 Cd 0.2500 0.5000 0.7500
10 Er 0.4244 0.1670 0.0249
11 Er 0.8579 0.8330 0.2574
12 Er 0.9751 0.3995 0.1421
13 Er 0.7426 0.6005 0.5756
14 Er 0.5000 0.0000 0.5000

Calculated formation energy (kJ/mol of atoms): -12.8
Mass density (g/cm³): 11.0
Spin magnetization (μB per cell): 0.00



The following is a DFT calculation (PBE) of KVCl2 after structural relaxation.

Cell: 6.0603 6.0603 8.0625 Å, 67.92 67.92 90.00°
Last column: magnetic moment on the atom in μB.
Fractional positions:
1 Cl 0.3750 0.2852 0.7500  -0.01
2 Cl 0.7148 0.1250 0.2500  -0.01
3 Cl 0.0352 0.6250 0.2500  -0.01
4 Cl 0.8750 0.9648 0.7500  -0.01
5 V 0.0000 0.0000 0.0000  3.05
6 V 0.7500 0.2500 0.5000  3.05
7 K 0.2500 0.7500 0.5000  0.01
8 K 0.5000 0.5000 0.0000  0.01

Formation energy without anion corrections (eV per atom): -0.822
Relative energy among the computed polymorphs (meV per atom): 0
Mass density (g/cm³): 2.1
Spin magnetization (μB per cell): 7.94



The following is a DFT calculation (PBE) of K2AgSbF6 after structural relaxation.

Cell: 6.5186 6.5184 6.3180 Å, 58.79 58.73 59.88°
Fractional positions:
1 Ag 0.8120 0.8126 0.5631
2 F 0.6186 0.1247 0.8032
3 F 0.1241 0.4547 0.8045
4 F 0.5992 0.1768 0.2535
5 F 0.4539 0.6174 0.8033
6 F 0.9706 0.5999 0.2536
7 F 0.1766 0.9696 0.2520
8 Sb 0.3094 0.3092 0.0716
9 K 0.0446 0.0450 0.8667
10 K 0.5525 0.5517 0.3437

Formation energy without anion corrections (eV per atom): -2.279
Mass density (g/cm³): 3.8
Spin magnetization (μB per cell): 0.00



The following is a DFT calculation (PBE) of VWC2 after structural relaxation.

Cell: 5.2745 5.2745 5.2745 Å, 33.31 33.31 33.31°
Last column: magnetic moment on the atom in μB.
Fractional positions:
1 C 0.2467 0.2467 0.2467  0.00
2 C 0.7533 0.7533 0.7533  0.00
3 W 0.0000 0.0000 0.0000  0.01
4 V 0.5000 0.5000 0.5000  0.07

Calculated formation energy (kJ/mol of atoms): -7.4
Relative energy among the computed polymorphs (meV per atom): 22
Mass density (g/cm³): 10.9
Spin magnetization (μB per cell): 0.09



The following is a DFT calculation (PBE) of Hf3ZrPb2 after structural relaxation.

Cell: 3.8860 10.1581 9.2821 Å, 125.86 90.00 101.03°
Fractional positions:
1 Hf 0.6246 0.2493 0.7686
2 Hf 0.3754 0.7507 0.2314
3 Hf 0.9450 0.8901 0.5499
4 Hf 0.0550 0.1099 0.4501
5 Hf 0.3149 0.6297 0.5264
6 Hf 0.6851 0.3703 0.4736
7 Pb 0.7501 0.5002 0.2064
8 Pb 0.5039 0.0077 0.1664
9 Pb 0.2499 0.4998 0.7936
10 Pb 0.4961 0.9923 0.8336
11 Zr 0.8838 0.7677 0.8656
12 Zr 0.1162 0.2323 0.1344

Calculated formation energy (kJ/mol of atoms): 2.8
Relative energy among the computed polymorphs (meV per atom): 0
Mass density (g/cm³): 12.0
Spin magnetization (μB per cell): 0.00



The following is a DFT calculation (PBE) of BaSr2W after structural relaxation.

Cell: 5.3199 5.3199 5.4210 Å, 90.00 90.00 89.96°
Last column: magnetic moment on the atom in μB.
Fractional positions:
1 W 0.5000 0.0000 0.5000  2.42
2 Sr 0.0000 0.0000 0.0000  -0.03
3 Sr 0.5000 0.5000 0.0000  -0.03
4 Ba 0.0000 0.5000 0.5000  -0.04

Calculated formation energy (kJ/mol of atoms): 111.8
Relative energy among the computed polymorphs (meV per atom): 180
Mass density (g/cm³): 5.4
Spin magnetization (μB per cell): 3.04



The following is a DFT calculation (PBE) of Cu2SiPt after structural relaxation.

Cell: 4.5779 4.5779 4.3800 Å, 72.25 72.25 37.81°
Fractional positions:
1 Si 0.7409 0.7409 0.6999
2 Cu 0.0193 0.0193 0.0333
3 Cu 0.2614 0.2614 0.2063
4 Pt 0.4784 0.4784 0.5605

Formation energy without anion corrections (eV per atom): -0.246
Mass density (g/cm³): 10.9
Spin magnetization (μB per cell): 0.00



The following is a DFT calculation (PBE) of TmHf2Rh after structural relaxation.

Cell: 3.3329 3.3329 7.6862 Å, 90.00 90.00 90.00°
Fractional positions:
1 Hf 0.0000 0.0000 0.2036
2 Hf 0.0000 0.0000 0.7964
3 Rh 0.5000 0.5000 0.0000
4 Tm 0.5000 0.5000 0.5000

Calculated formation energy (kJ/mol of atoms): -29.7
Relative energy among the computed polymorphs (meV per atom): 0
Mass density (g/cm³): 12.2
Spin magnetization (μB per cell): 0.01



The following is a DFT calculation (PBE) of Al2HgBr after structural relaxation.

Cell: 6.2998 6.2998 6.2998 Å, 141.05 141.05 56.26°
Fractional positions:
1 Hg 0.7500 0.2500 0.5000
2 Al 0.0000 0.0000 0.0000
3 Al 0.2500 0.7500 0.5000
4 Br 0.5000 0.5000 0.0000

Formation energy without anion corrections (eV per atom): 0.173
Relative energy among the computed polymorphs (meV per atom): 180
Mass density (g/cm³): 5.7
Spin magnetization (μB per cell): 0.00



The following is a DFT calculation (PBE) of ErZrCoOs after structural relaxation.

Cell: 3.2815 3.2815 6.6819 Å, 90.00 90.00 90.00°
Last column: magnetic moment on the atom in μB.
Fractional positions:
1 Os 0.5000 0.5000 0.1255  0.01
2 Zr 0.0000 0.0000 0.3596  -0.12
3 Co 0.5000 0.5000 0.5879  0.77
4 Er 0.0000 0.0000 0.8550  -0.12

Calculated formation energy (kJ/mol of atoms): -32.9
Relative energy among the computed polymorphs (meV per atom): 0
Mass density (g/cm³): 11.7
Spin magnetization (μB per cell): 0.44



The following is a DFT calculation (PBE) of Zr2MnCl after structural relaxation.

Cell: 4.8983 4.8983 4.8983 Å, 126.17 126.17 79.62°
Last column: magnetic moment on the atom in μB.
Fractional positions:
1 Zr 0.5000 0.5000 0.0000  -0.29
2 Zr 0.0000 0.0000 0.0000  -0.29
3 Mn 0.7500 0.2500 0.5000  2.43
4 Cl 0.2500 0.7500 0.5000  0.05

Formation energy without anion corrections (eV per atom): 0.138
Relative energy among the computed polymorphs (meV per atom): 647
Mass density (g/cm³): 6.1
Spin magnetization (μB per cell): 1.78



The following is a DFT calculation (PBE) of ThGeSe after structural relaxation.

Cell: 9.2734 9.2734 9.2734 Å, 154.65 154.65 36.15°
Fractional positions:
1 Ge 0.0000 0.5000 0.5000
2 Ge 0.5000 0.0000 0.5000
3 Se 0.6879 0.6879 0.0000
4 Se 0.3121 0.3121 0.0000
5 Th 0.1332 0.1332 0.0000
6 Th 0.8668 0.8668 0.0000

Formation energy without anion corrections (eV per atom): -1.282
Mass density (g/cm³): 8.7
Spin magnetization (μB per cell): 0.00



The following is a DFT calculation (PBE) of MnFe2Rh after structural relaxation.

Cell: 2.5801 3.6377 5.1166 Å, 90.00 90.00 90.00°
Last column: magnetic moment on the atom in μB.
Fractional positions:
1 Fe 0.5000 0.5000 0.2502  -1.70
2 Fe 0.0000 0.0000 0.0110  1.97
3 Rh 0.5000 0.5000 0.7522  0.00
4 Mn 0.0000 0.0000 0.4866  1.91

Calculated formation energy (kJ/mol of atoms): 5.4
Mass density (g/cm³): 9.3
Spin magnetization (μB per cell): 2.22



The following is a DFT calculation (PBE) of P2RhCl after structural relaxation.

Cell: 5.8902 5.8902 6.7502 Å, 64.13 64.13 90.00°
Fractional positions:
1 P 0.8750 0.9594 0.7500
2 P 0.0406 0.6250 0.2500
3 P 0.3750 0.2906 0.7500
4 P 0.7094 0.1250 0.2500
5 Cl 0.2500 0.7500 0.5000
6 Cl 0.5000 0.5000 0.0000
7 Rh 0.7500 0.2500 0.5000
8 Rh 0.0000 0.0000 0.0000

Formation energy without anion corrections (eV per atom): 0.067
Relative energy among the computed polymorphs (meV per atom): 236
Mass density (g/cm³): 3.6
Spin magnetization (μB per cell): 0.00